The following is a DFT calculation (meta-GGA SCAN) of a PBEsol-optimized structure of LiAg3.

Calculated values
DFT total energy ... -24.25 eV/atom
Magnetic moment ... 0.000 μB per atom
Energy relative to the elements ... -0.125 eV/atom

Lattice parameters (Å, degrees): 4.6233 4.9074 5.6570 90.00 90.00 90.00
Last column: nearest neighbours and their distance in Å.
Atoms (fractional coordinates):
1 Ag 0.5000 0.6666 0.0000  8 Ag 2.82-2.84, 4 Li 2.83
2 Ag 0.0000 0.3334 0.5000  8 Ag 2.82-2.84, 4 Li 2.83
3 Ag 0.0000 0.8314 0.7495  4 Li 2.82-2.85, 8 Ag 2.82-2.84
4 Ag 0.0000 0.8314 0.2505  4 Li 2.82-2.85, 8 Ag 2.82-2.84
5 Ag 0.5000 0.1686 0.2495  4 Li 2.82-2.85, 8 Ag 2.82-2.84
6 Ag 0.5000 0.1686 0.7505  4 Li 2.82-2.85, 8 Ag 2.82-2.84
7 Li 0.0000 0.3343 0.0000  12 Ag 2.82-2.85
8 Li 0.5000 0.6657 0.5000  12 Ag 2.82-2.85